ZnCuRu2: optimized geometry, GGA-PBE.

The structure in POSCAR format:
```
ZnCuRu2
1.0
-2.736 2.953 2.826
-4.724 0.453 -1.293
3.480 -3.204 1.350
Ru Cu Zn
2 1 1
direct
0.003 0.003 0.000
0.747 0.247 0.500
0.259 0.759 0.500
0.491 0.491 0.000
```

Results
DFT formation energy in eV/atom: 0.160

P2Ir2Pd: optimized geometry, GGA-PBE.

The structure in POSCAR format:
```
P2Ir2Pd
1.0
7.024 0.000 0.000
0.000 7.024 0.000
0.000 0.000 2.860
P Pd Ir
4 2 4
direct
0.845 0.655 0.000
0.345 0.845 0.000
0.155 0.345 0.000
0.655 0.155 0.000
0.500 0.500 0.000
0.000 0.000 0.000
0.144 0.644 0.500
0.644 0.856 0.500
0.356 0.144 0.500
0.856 0.356 0.500
```

Results
Distance to the lowest polymorph of the same formula in meV per atom: 179
DFT formation energy in eV/atom: -0.101

Listing electronic total energy for the structures above in their given order: -5.821; -6.848 eV per atom.